(a)
Sr8In2Sn: optimized geometry, GGA-PBE.

Output
Spin magnetization   0.000 μB/atom
Space-group type   C2/m

a b c (Å): 10.5230 10.5230 8.2035
angles (deg): 109.59 109.59 32.05
Last column: nearest neighbours and their distance in Å.
Atoms (fractional coordinates):
Sr 0.0263 0.0263 0.2832  1 In 3.44, 2 Sn 3.54
Sr 0.2002 0.2002 0.7983  3 In 3.40-3.76
Sr 0.3337 0.3337 0.5468  3 In 3.43-3.67, 1 Sn 3.52
Sr 0.4021 0.4021 0.0545  1 Sn 3.50, 2 In 3.60, 4 Sr 3.87-3.90
Sr 0.5979 0.5979 0.9455  1 Sn 3.50, 2 In 3.60, 4 Sr 3.87-3.90
Sr 0.6663 0.6663 0.4532  3 In 3.43-3.67, 1 Sn 3.52
Sr 0.7998 0.7998 0.2017  3 In 3.40-3.76
Sr 0.9737 0.9737 0.7168  1 In 3.44, 2 Sn 3.54
In 0.1804 0.1804 0.1930  9 Sr 3.40-3.76
In 0.8196 0.8196 0.8070  9 Sr 3.40-3.76
Sn 0.5000 0.5000 0.5000  8 Sr 3.50-3.54

(b)
Sr8In2Sn: optimized geometry, GGA-PBE.

Output
Spin magnetization   0.033 μB/atom
Space-group type   Immm

a b c (Å): 10.0337 10.0337 10.0337
angles (deg): 146.99 126.21 64.58
Last column: nearest neighbours and their distance in Å.
Atoms (fractional coordinates):
Sr 0.1200 0.3416 0.7784  3 In 3.52-3.63, 1 Sn 3.69, 5 Sr 3.81-3.93
Sr 0.1483 0.1483 0.0000  8 Sr 3.74-3.85, 2 Sn 3.80, 2 In 3.98
Sr 0.3051 0.0000 0.3051  7 Sr 3.54-3.93, 2 In 3.64
Sr 0.4368 0.6584 0.7784  3 In 3.52-3.63, 1 Sn 3.69, 5 Sr 3.81-3.93
Sr 0.5632 0.3416 0.2216  3 In 3.52-3.63, 1 Sn 3.69, 5 Sr 3.81-3.93
Sr 0.6949 0.0000 0.6949  7 Sr 3.54-3.93, 2 In 3.64
Sr 0.8517 0.8517 0.0000  8 Sr 3.74-3.85, 2 Sn 3.80, 2 In 3.98
Sr 0.8800 0.6584 0.2216  3 In 3.52-3.63, 1 Sn 3.69, 5 Sr 3.81-3.93
In 0.3123 0.8123 0.5000  8 Sr 3.52-3.64
In 0.6877 0.1877 0.5000  8 Sr 3.52-3.64
Sn 0.0000 0.5000 0.5000  12 Sr 3.69-3.97

Name the most stable of them. (a).

(a)
Sr3In2Sn3: optimized geometry, GGA-PBE.

Output
Spin magnetization   0.000 μB/atom
Space-group type   Cmcm

a b c (Å): 6.7249 6.7249 16.5618
angles (deg): 90.00 90.00 136.70
Last column: nearest neighbours and their distance in Å.
Atoms (fractional coordinates):
Sr 0.0668 0.9332 0.6114  6 Sn 3.46-3.67, 3 In 3.50-3.80
Sr 0.0668 0.9332 0.8886  6 Sn 3.46-3.67, 3 In 3.50-3.80
Sr 0.3398 0.6602 0.7500  5 Sn 3.40-3.65, 4 In 3.65
Sr 0.6602 0.3398 0.2500  5 Sn 3.40-3.65, 4 In 3.65
Sr 0.9332 0.0668 0.1114  6 Sn 3.46-3.67, 3 In 3.50-3.80
Sr 0.9332 0.0668 0.3886  6 Sn 3.46-3.67, 3 In 3.50-3.80
In 0.2369 0.7631 0.0990  4 Sn 3.02-3.04
In 0.2369 0.7631 0.4010  4 Sn 3.02-3.04
In 0.7631 0.2369 0.5990  4 Sn 3.02-3.04
In 0.7631 0.2369 0.9010  4 Sn 3.02-3.04
Sn 0.3747 0.6253 0.2500  2 In 3.04
Sn 0.3822 0.6178 0.5470  3 In 3.02-3.03, 1 Sn 3.33
Sn 0.3822 0.6178 0.9530  3 In 3.02-3.03, 1 Sn 3.33
Sn 0.6178 0.3822 0.0470  3 In 3.02-3.03, 1 Sn 3.33
Sn 0.6178 0.3822 0.4530  3 In 3.02-3.03, 1 Sn 3.33
Sn 0.6253 0.3747 0.7500  2 In 3.04

(b)
Sr3In2Sn3: optimized geometry, GGA-PBE.

Output
Spin magnetization   0.000 μB/atom
Space-group type   Cmcm

a b c (Å): 6.5620 6.5620 15.9215
angles (deg): 90.00 90.00 132.31
Last column: nearest neighbours and their distance in Å.
Atoms (fractional coordinates):
Sr 0.0323 0.9677 0.7500  7 Sn 3.57-3.61, 2 In 3.69
Sr 0.1463 0.8537 0.0294  3 In 3.36-3.54, 4 Sn 3.51-3.73, 3 Sr 3.64-3.76
Sr 0.1463 0.8537 0.4706  3 In 3.36-3.54, 4 Sn 3.51-3.73, 3 Sr 3.64-3.76
Sr 0.8537 0.1463 0.5294  3 In 3.36-3.54, 4 Sn 3.51-3.73, 3 Sr 3.64-3.76
Sr 0.8537 0.1463 0.9706  3 In 3.36-3.54, 4 Sn 3.51-3.73, 3 Sr 3.64-3.76
Sr 0.9677 0.0323 0.2500  7 Sn 3.57-3.61, 2 In 3.69
In 0.3124 0.6876 0.6547  3 Sn 3.03-3.20, 1 In 3.04, 2 Sr 3.36
In 0.3124 0.6876 0.8453  3 Sn 3.03-3.20, 1 In 3.04, 2 Sr 3.36
In 0.6876 0.3124 0.1547  3 Sn 3.03-3.20, 1 In 3.04, 2 Sr 3.36
In 0.6876 0.3124 0.3453  3 Sn 3.03-3.20, 1 In 3.04, 2 Sr 3.36
Sn 0.2653 0.7347 0.2500  4 In 3.20, 2 Sn 3.28, 1 Sr 3.57
Sn 0.4475 0.5525 0.0968  1 In 3.03, 2 Sn 3.28-3.33
Sn 0.4475 0.5525 0.4032  1 In 3.03, 2 Sn 3.28-3.33
Sn 0.5525 0.4475 0.5968  1 In 3.03, 2 Sn 3.28-3.33
Sn 0.5525 0.4475 0.9032  1 In 3.03, 2 Sn 3.28-3.33
Sn 0.7347 0.2653 0.7500  4 In 3.20, 2 Sn 3.28, 1 Sr 3.57

Name the most stable of them. (a).